Record 1
An optimized crystal structure of Pm2CdSn4Rh3, computed with PBE.

Calculated values
ΔE_f = -0.59 eV/atom

abc: 4.494 4.494 11.182
angles: 90.00 90.00 90.00
Fractional coordinates of all 10 atoms:
Pm: 0.000 0.500 0.238
Pm: 0.500 0.000 0.762
Cd: 0.000 0.000 0.500
Sn: 0.000 0.000 0.000
Sn: 0.000 0.500 0.645
Sn: 0.500 0.000 0.355
Sn: 0.500 0.500 0.000
Rh: 0.000 0.500 0.874
Rh: 0.500 0.000 0.126
Rh: 0.500 0.500 0.500



Record 2
An optimized crystal structure of Pm2CdSn2Rh5, computed with PBE.

Calculated values
ΔE_f = -0.49 eV/atom

abc: 10.246 10.246 3.762
angles: 90.00 90.00 90.00
Fractional coordinates of all 20 atoms:
Pm: 0.172 0.328 0.000
Pm: 0.328 0.828 0.000
Pm: 0.672 0.172 0.000
Pm: 0.828 0.672 0.000
Cd: 0.000 0.000 0.000
Cd: 0.500 0.500 0.000
Sn: 0.127 0.627 0.000
Sn: 0.373 0.127 0.000
Sn: 0.627 0.873 0.000
Sn: 0.873 0.373 0.000
Rh: 0.000 0.500 0.500
Rh: 0.061 0.797 0.500
Rh: 0.203 0.061 0.500
Rh: 0.297 0.561 0.500
Rh: 0.439 0.297 0.500
Rh: 0.500 0.000 0.500
Rh: 0.561 0.703 0.500
Rh: 0.703 0.439 0.500
Rh: 0.797 0.939 0.500
Rh: 0.939 0.203 0.500



Record 3
An optimized crystal structure of Pm2CdSn3Rh4, computed with PBE.

Calculated values
ΔE_f = -0.62 eV/atom

abc: 4.397 4.397 11.147
angles: 90.00 90.00 90.00
Fractional coordinates of all 10 atoms:
Pm: 0.000 0.500 0.247
Pm: 0.500 0.000 0.753
Cd: 0.000 0.000 0.500
Sn: 0.000 0.500 0.872
Sn: 0.500 0.000 0.128
Sn: 0.500 0.500 0.500
Rh: 0.000 0.000 0.000
Rh: 0.000 0.500 0.641
Rh: 0.500 0.000 0.359
Rh: 0.500 0.500 0.000



Record 4
An optimized crystal structure of PmThCdRh, computed with PBE.

Calculated values
ΔE_f = -0.35 eV/atom

abc: 5.211 5.211 5.211
angles: 60.00 60.00 60.00
Fractional coordinates of all 4 atoms:
Pm: 0.000 0.000 0.000
Th: 0.500 0.500 0.500
Cd: 0.750 0.750 0.750
Rh: 0.250 0.250 0.250



Record 5
An optimized crystal structure of PmTlCdRh, computed with PBE.

Calculated values
ΔE_f = -0.23 eV/atom

abc: 5.034 5.034 5.034
angles: 60.00 60.00 60.00
Fractional coordinates of all 4 atoms:
Pm: 0.000 0.000 0.000
Tl: 0.250 0.250 0.250
Cd: 0.500 0.500 0.500
Rh: 0.750 0.750 0.750



Record 6
An optimized crystal structure of PmYCdRh, computed with PBE.

Calculated values
ΔE_f = -0.49 eV/atom

abc: 5.129 5.129 5.129
angles: 60.00 60.00 60.00
Fractional coordinates of all 4 atoms:
Pm: 0.000 0.000 0.000
Y: 0.500 0.500 0.500
Cd: 0.750 0.750 0.750
Rh: 0.250 0.250 0.250



Record 7
An optimized crystal structure of PmZnCdRh, computed with PBE.

Calculated values
ΔE_f = -0.33 eV/atom

abc: 4.851 4.851 4.851
angles: 60.00 60.00 60.00
Fractional coordinates of all 4 atoms:
Pm: 0.000 0.000 0.000
Zn: 0.750 0.750 0.750
Cd: 0.500 0.500 0.500
Rh: 0.250 0.250 0.250



Record 8
An optimized crystal structure of Pm2Zn2CdRh5, computed with PBE.

Calculated values
ΔE_f = -0.49 eV/atom

abc: 9.728 9.728 3.755
angles: 90.00 90.00 90.00
Fractional coordinates of all 20 atoms:
Pm: 0.177 0.323 0.000
Pm: 0.323 0.823 0.000
Pm: 0.677 0.177 0.000
Pm: 0.823 0.677 0.000
Zn: 0.121 0.621 0.000
Zn: 0.379 0.121 0.000
Zn: 0.621 0.879 0.000
Zn: 0.879 0.379 0.000
Cd: 0.000 0.000 0.000
Cd: 0.500 0.500 0.000
Rh: 0.000 0.500 0.500
Rh: 0.068 0.791 0.500
Rh: 0.209 0.068 0.500
Rh: 0.291 0.568 0.500
Rh: 0.432 0.291 0.500
Rh: 0.500 0.000 0.500
Rh: 0.568 0.709 0.500
Rh: 0.709 0.432 0.500
Rh: 0.791 0.932 0.500
Rh: 0.932 0.209 0.500



Record 9
An optimized crystal structure of PmZrCdRh, computed with PBE.

Calculated values
ΔE_f = -0.28 eV/atom

abc: 5.000 5.000 5.000
angles: 60.00 60.00 60.00
Fractional coordinates of all 4 atoms:
Pm: 0.000 0.000 0.000
Zr: 0.500 0.500 0.500
Cd: 0.750 0.750 0.750
Rh: 0.250 0.250 0.250



Record 10
An optimized crystal structure of Pm4Cd3Ru, computed with PBE.

Calculated values
ΔE_f = -0.29 eV/atom

abc: 3.629 3.629 16.021
angles: 90.00 90.00 90.00
Fractional coordinates of all 8 atoms:
Pm: 0.000 0.000 0.104
Pm: 0.000 0.000 0.370
Pm: 0.000 0.000 0.630
Pm: 0.000 0.000 0.896
Cd: 0.500 0.500 0.243
Cd: 0.500 0.500 0.500
Cd: 0.500 0.500 0.757
Ru: 0.500 0.500 0.000



Record 11
An optimized crystal structure of Pm12CdRu6, computed with PBE.

Calculated values
ΔE_f = -0.19 eV/atom

abc: 8.750 8.750 8.750
angles: 109.47 109.47 109.47
Fractional coordinates of all 19 atoms:
Pm: 0.102 0.803 0.299
Pm: 0.197 0.299 0.496
Pm: 0.197 0.701 0.898
Pm: 0.299 0.102 0.803
Pm: 0.299 0.496 0.197
Pm: 0.496 0.197 0.299
Pm: 0.504 0.803 0.701
Pm: 0.701 0.504 0.803
Pm: 0.701 0.898 0.197
Pm: 0.803 0.299 0.102
Pm: 0.803 0.701 0.504
Pm: 0.898 0.197 0.701
Cd: 0.000 0.000 0.000
Ru: 0.122 0.622 0.500
Ru: 0.378 0.500 0.878
Ru: 0.500 0.122 0.622
Ru: 0.500 0.878 0.378
Ru: 0.622 0.500 0.122
Ru: 0.878 0.378 0.500



Record 12
An optimized crystal structure of Pm6Cd5Ru, computed with PBE.

Calculated values
ΔE_f = -0.32 eV/atom

abc: 9.187 9.187 9.187
angles: 146.43 130.70 60.97
Fractional coordinates of all 12 atoms:
Pm: 0.079 0.347 0.732
Pm: 0.226 0.000 0.226
Pm: 0.386 0.653 0.732
Pm: 0.614 0.347 0.268
Pm: 0.774 0.000 0.774
Pm: 0.921 0.653 0.268
Cd: 0.186 0.186 0.000
Cd: 0.331 0.831 0.500
Cd: 0.500 0.500 0.000
Cd: 0.669 0.169 0.500
Cd: 0.814 0.814 0.000
Ru: 0.000 0.500 0.500



Record 13
An optimized crystal structure of PmCdRu, computed with PBE.

Calculated values
ΔE_f = 0.04 eV/atom
polymorph energy (0 for the lowest one) = 254.8 meV per atom

abc: 13.860 13.860 13.860
angles: 166.75 166.75 18.79
Fractional coordinates of all 6 atoms:
Pm: 0.149 0.149 0.000
Pm: 0.851 0.851 0.000
Cd: 0.447 0.447 0.000
Cd: 0.553 0.553 0.000
Ru: 0.274 0.274 0.000
Ru: 0.726 0.726 0.000



Record 14
An optimized crystal structure of Pm7CdRu2, computed with PBE.

Calculated values
ΔE_f = -0.01 eV/atom

abc: 8.307 8.307 5.328
angles: 90.00 90.00 113.23
Fractional coordinates of all 10 atoms:
Pm: 0.000 0.000 0.000
Pm: 0.185 0.446 0.000
Pm: 0.217 0.783 0.500
Pm: 0.446 0.185 0.000
Pm: 0.554 0.815 0.000
Pm: 0.783 0.217 0.500
Pm: 0.815 0.554 0.000
Cd: 0.500 0.500 0.500
Ru: 0.199 0.801 0.000
Ru: 0.801 0.199 0.000



Record 15
An optimized crystal structure of PmCdRu4, computed with PBE.

Calculated values
ΔE_f = 0.09 eV/atom

abc: 5.317 5.317 5.317
angles: 60.00 60.00 60.00
Fractional coordinates of all 6 atoms:
Pm: 0.000 0.000 0.000
Cd: 0.750 0.750 0.750
Ru: 0.376 0.376 0.376
Ru: 0.376 0.376 0.873
Ru: 0.376 0.873 0.376
Ru: 0.873 0.376 0.376



Record 16
An optimized crystal structure of Pm2CdRu, computed with PBE.

Calculated values
ΔE_f = -0.19 eV/atom
polymorph energy (0 for the lowest one) = 84.8 meV per atom

abc: 5.162 5.162 5.162
angles: 60.00 60.00 60.00
Fractional coordinates of all 4 atoms:
Pm: 0.250 0.250 0.250
Pm: 0.750 0.750 0.750
Cd: 0.000 0.000 0.000
Ru: 0.500 0.500 0.500



Record 17
An optimized crystal structure of Pm8Cd2Ru, computed with PBE.

Calculated values
ΔE_f = -0.15 eV/atom

abc: 9.330 9.330 7.094
angles: 108.86 108.86 34.48
Fractional coordinates of all 11 atoms:
Pm: 0.019 0.019 0.284
Pm: 0.197 0.197 0.774
Pm: 0.350 0.350 0.559
Pm: 0.406 0.406 0.086
Pm: 0.594 0.594 0.914
Pm: 0.650 0.650 0.441
Pm: 0.803 0.803 0.226
Pm: 0.981 0.981 0.716
Cd: 0.183 0.183 0.201
Cd: 0.817 0.817 0.799
Ru: 0.500 0.500 0.500



Record 18
An optimized crystal structure of Pm12Cd6Ru, computed with PBE.

Calculated values
ΔE_f = -0.10 eV/atom

abc: 8.428 8.428 8.428
angles: 94.42 94.42 94.42
Fractional coordinates of all 19 atoms:
Pm: 0.040 0.931 0.701
Pm: 0.069 0.299 0.960
Pm: 0.181 0.407 0.518
Pm: 0.299 0.960 0.069
Pm: 0.407 0.518 0.181
Pm: 0.482 0.819 0.593
Pm: 0.518 0.181 0.407
Pm: 0.593 0.482 0.819
Pm: 0.701 0.040 0.931
Pm: 0.819 0.593 0.482
Pm: 0.931 0.701 0.040
Pm: 0.960 0.069 0.299
Cd: 0.163 0.762 0.359
Cd: 0.238 0.641 0.837
Cd: 0.359 0.163 0.762
Cd: 0.641 0.837 0.238
Cd: 0.762 0.359 0.163
Cd: 0.837 0.238 0.641
Ru: 0.500 0.500 0.500



Record 19
An optimized crystal structure of Pm7CdRu4, computed with PBE.

Calculated values
ΔE_f = -0.01 eV/atom

abc: 7.464 7.464 9.852
angles: 123.55 123.55 44.76
Fractional coordinates of all 12 atoms:
Pm: 0.000 0.000 0.000
Pm: 0.177 0.177 0.629
Pm: 0.290 0.290 0.121
Pm: 0.420 0.420 0.623
Pm: 0.580 0.580 0.377
Pm: 0.710 0.710 0.879
Pm: 0.823 0.823 0.371
Cd: 0.500 0.500 0.000
Ru: 0.064 0.064 0.776
Ru: 0.198 0.198 0.342
Ru: 0.802 0.802 0.658
Ru: 0.936 0.936 0.224



Record 20
An optimized crystal structure of Pm8CdRu2, computed with PBE.

Calculated values
ΔE_f = -0.12 eV/atom

abc: 8.090 8.090 5.664
angles: 97.37 97.37 114.25
Fractional coordinates of all 11 atoms:
Pm: 0.072 0.329 0.565
Pm: 0.249 0.751 0.000
Pm: 0.329 0.072 0.565
Pm: 0.393 0.393 0.201
Pm: 0.607 0.607 0.799
Pm: 0.671 0.928 0.435
Pm: 0.751 0.249 0.000
Pm: 0.928 0.671 0.435
Cd: 0.000 0.000 0.000
Ru: 0.301 0.699 0.500
Ru: 0.699 0.301 0.500



Record 21
An optimized crystal structure of Pm6Cd3Ru, computed with PBE.

Calculated values
ΔE_f = -0.22 eV/atom

abc: 9.236 5.431 11.705
angles: 90.00 108.37 90.00
Fractional coordinates of all 20 atoms:
Pm: 0.036 0.250 0.416
Pm: 0.185 0.750 0.162
Pm: 0.277 0.250 0.000
Pm: 0.351 0.750 0.832
Pm: 0.376 0.250 0.348
Pm: 0.399 0.250 0.651
Pm: 0.601 0.750 0.349
Pm: 0.624 0.750 0.652
Pm: 0.649 0.250 0.168
Pm: 0.723 0.750 0.000
Pm: 0.815 0.250 0.838
Pm: 0.964 0.750 0.584
Cd: 0.009 0.750 0.868
Cd: 0.083 0.250 0.717
Cd: 0.269 0.750 0.471
Cd: 0.731 0.250 0.529
Cd: 0.917 0.750 0.283
Cd: 0.991 0.250 0.132
Ru: 0.461 0.750 0.092
Ru: 0.539 0.250 0.908



Record 22
An optimized crystal structure of Pm2CdRu, computed with PBE.

Calculated values
ΔE_f = -0.28 eV/atom
polymorph energy (0 for the lowest one) = 0.0 meV per atom

abc: 3.547 3.547 7.896
angles: 90.00 90.00 90.00
Fractional coordinates of all 4 atoms:
Pm: 0.000 0.000 0.216
Pm: 0.000 0.000 0.784
Cd: 0.500 0.500 0.500
Ru: 0.500 0.500 0.000